Entry 1:
The following is a PBE-GGA calculation of a relaxed structure of CeNd2Cu, from Alexandria via LeMat-Bulk. Values from VASP.

## Properties
offset from the most stable computed form	0.1366	eV per atom
calculated total energy	-4.7616	eV/atom
ΔH_f (0 K)	0.130	eV/atom
theoretical density	7.72	g/cm3
spin magnetization	0.0034	μB per atom

```
&SYSTEM
  ibrav = 0, nat = 4, ntyp = 3
/
ATOMIC_SPECIES
Cu 63.55 Cu.upf
Ce 140.12 Ce.upf
Nd 144.24 Nd.upf
CELL_PARAMETERS angstrom
-1.911 0.489 -2.887
-4.532 -1.467 2.752
-0.826 5.246 1.435
ATOMIC_POSITIONS angstrom
Cu -0.956 0.244 -1.443
Ce -3.635 2.134 0.650
Nd -2.266 -0.733 1.376
Nd -0.413 2.623 0.718
```

Entry 2:
The following is a PBE-GGA calculation of a relaxed structure of CeNd2Cu6, from Alexandria via LeMat-Bulk. Values from VASP.

## Properties
calculated total energy	-4.6353	eV/atom
ΔH_f (0 K)	-0.186	eV/atom
theoretical density	7.58	g/cm3
spin magnetization	0.0904	μB per atom

```
&SYSTEM
  ibrav = 0, nat = 9, ntyp = 3
/
ATOMIC_SPECIES
Cu 63.55 Cu.upf
Nd 144.24 Nd.upf
Ce 140.12 Ce.upf
CELL_PARAMETERS angstrom
3.700 0.000 0.000
0.000 6.446 -3.721
0.000 0.000 7.443
ATOMIC_POSITIONS angstrom
Cu 1.850 2.141 1.236
Cu 1.850 0.000 2.472
Cu 1.850 4.304 2.485
Cu 1.850 0.000 4.970
Cu 1.850 4.304 4.958
Cu 1.850 2.141 -1.236
Nd 3.700 4.297 0.000
Nd 0.000 2.149 3.721
Ce 0.000 0.000 0.000
```

Entry 3:
The following is a PBE-GGA calculation of a relaxed structure of Ce2NdCu6, from Alexandria via LeMat-Bulk. Values from VASP.

## Properties
calculated total energy	-4.7369	eV/atom
ΔH_f (0 K)	-0.158	eV/atom
theoretical density	7.68	g/cm3
spin magnetization	0.1561	μB per atom

```
&SYSTEM
  ibrav = 0, nat = 9, ntyp = 3
/
ATOMIC_SPECIES
Cu 63.55 Cu.upf
Nd 144.24 Nd.upf
Ce 140.12 Ce.upf
CELL_PARAMETERS angstrom
3.595 0.000 0.000
0.000 6.480 -3.741
0.000 0.000 7.483
ATOMIC_POSITIONS angstrom
Cu 1.798 0.000 2.503
Cu 1.798 4.312 2.490
Cu 1.798 2.168 1.252
Cu 1.798 0.000 4.979
Cu 1.798 2.168 -1.252
Cu 1.798 4.312 4.993
Nd 0.000 0.000 0.000
Ce 3.595 4.320 0.000
Ce 0.000 2.160 3.741
```

Entry 4:
The following is a PBE-GGA calculation of a relaxed structure of Ce2NdCu, from Alexandria via LeMat-Bulk. Values from VASP.

## Properties
offset from the most stable computed form	0.2223	eV per atom
calculated total energy	-4.9099	eV/atom
ΔH_f (0 K)	0.273	eV/atom
theoretical density	7.72	g/cm3
spin magnetization	0.1981	μB per atom

```
&SYSTEM
  ibrav = 0, nat = 4, ntyp = 3
/
ATOMIC_SPECIES
Ce 140.12 Ce.upf
Nd 144.24 Nd.upf
Cu 63.55 Cu.upf
CELL_PARAMETERS angstrom
-2.513 -1.879 1.020
-0.581 -2.907 -1.449
5.687 -6.597 7.199
ATOMIC_POSITIONS angstrom
Ce 3.691 -5.111 5.017
Ce -1.098 -6.272 1.753
Nd 0.000 0.000 0.000
Cu 1.296 -5.691 3.385
```

Entry 5:
The following is a PBE-GGA calculation of a relaxed structure of Sr5CeNd3Cu4PbO18, from Alexandria via LeMat-Bulk. Values from VASP.

## Properties
E_form (uncorrected)	-2.22	eV/atom
calculated total energy	-6.5319	eV/atom
theoretical density	6.39	g/cm3
spin magnetization	0.0398	μB per atom

```
&SYSTEM
  ibrav = 0, nat = 32, ntyp = 6
/
ATOMIC_SPECIES
O 16.00 O.upf
Sr 87.62 Sr.upf
Cu 63.55 Cu.upf
Pb 207.20 Pb.upf
Nd 144.24 Nd.upf
Ce 140.12 Ce.upf
CELL_PARAMETERS angstrom
-14.473 -4.991 -2.362
13.118 3.503 7.458
-1.898 5.045 0.968
ATOMIC_POSITIONS angstrom
O -5.954 2.114 0.540
O 2.674 1.448 5.534
O 3.344 2.183 3.017
O 0.310 2.375 3.721
O 12.159 6.022 7.938
O -8.328 -1.985 1.591
O 2.407 4.675 3.495
O -0.681 -0.745 2.547
O -12.359 -4.340 -1.610
O -9.298 0.594 2.086
O -7.665 -1.257 -0.901
O -6.616 1.388 3.029
O -5.668 -1.134 2.545
O 1.737 3.940 6.013
O -8.635 1.321 -0.406
O 10.994 2.849 6.702
O -5.005 -0.407 0.056
O -3.574 1.179 2.339
Sr -12.998 -1.723 -1.016
Sr 13.114 3.502 7.456
Sr 1.744 0.002 3.410
Sr -3.113 -1.494 1.681
Sr 9.762 5.285 7.085
Cu 2.408 3.021 4.468
Cu -5.686 0.529 1.587
Cu 9.178 2.290 6.055
Cu -10.553 -3.784 -0.967
Pb -1.631 1.777 3.030
Nd 6.482 4.275 5.918
Nd 5.039 1.016 4.582
Nd -9.705 -0.709 0.157
Ce -6.446 -2.520 0.495
```

Entry 6:
The following is a PBE-GGA calculation of a relaxed structure of CeNdCuOs, from Alexandria via LeMat-Bulk. Values from VASP.

## Properties
calculated total energy	-6.5837	eV/atom
ΔH_f (0 K)	-0.077	eV/atom
theoretical density	10.26	g/cm3
spin magnetization	0.0661	μB per atom

```
&SYSTEM
  ibrav = 0, nat = 4, ntyp = 4
/
ATOMIC_SPECIES
Nd 144.24 Nd.upf
Os 190.23 Os.upf
Cu 63.55 Cu.upf
Ce 140.12 Ce.upf
CELL_PARAMETERS angstrom
-2.295 4.319 -0.911
-4.859 0.059 -1.066
-3.247 1.835 3.292
ATOMIC_POSITIONS angstrom
Nd -5.200 3.106 0.658
Os -7.800 4.659 0.986
Cu -2.600 1.553 0.329
Ce 0.000 0.000 0.000
```

Entry 7:
The following is a PBE-GGA calculation of a relaxed structure of CeNdCuRh, from Alexandria via LeMat-Bulk. Values from VASP.

## Properties
calculated total energy	-5.9066	eV/atom
ΔH_f (0 K)	-0.369	eV/atom
theoretical density	8.44	g/cm3
spin magnetization	0.1557	μB per atom

```
&SYSTEM
  ibrav = 0, nat = 4, ntyp = 4
/
ATOMIC_SPECIES
Nd 144.24 Nd.upf
Rh 102.91 Rh.upf
Ce 140.12 Ce.upf
Cu 63.55 Cu.upf
CELL_PARAMETERS angstrom
5.006 0.000 0.000
2.503 4.336 0.000
2.503 1.445 4.088
ATOMIC_POSITIONS angstrom
Nd 0.000 0.000 0.000
Rh 7.510 4.336 3.066
Ce 5.006 2.890 2.044
Cu 2.503 1.445 1.022
```

Entry 8:
The following is a PBE-GGA calculation of a relaxed structure of CeNdCuRu, from Alexandria via LeMat-Bulk. Values from VASP.

## Properties
calculated total energy	-6.1796	eV/atom
ΔH_f (0 K)	-0.161	eV/atom
theoretical density	8.57	g/cm3
spin magnetization	0.1154	μB per atom

```
&SYSTEM
  ibrav = 0, nat = 4, ntyp = 4
/
ATOMIC_SPECIES
Nd 144.24 Nd.upf
Ru 101.07 Ru.upf
Cu 63.55 Cu.upf
Ce 140.12 Ce.upf
CELL_PARAMETERS angstrom
-4.902 -0.367 -0.755
-1.725 -2.251 -4.085
-2.247 -4.422 0.359
ATOMIC_POSITIONS angstrom
Nd 0.000 0.000 0.000
Ru -2.219 -1.760 -1.120
Cu -6.656 -5.280 -3.360
Ce -4.437 -3.520 -2.240
```

Entry 9:
The following is a PBE-GGA calculation of a relaxed structure of CeNdCuS4, from Alexandria via LeMat-Bulk. Values from VASP.

## Properties
E_form (uncorrected)	-1.51	eV/atom
calculated total energy	-5.9842	eV/atom
theoretical density	5.35	g/cm3
spin magnetization	0.0576	μB per atom

```
&SYSTEM
  ibrav = 0, nat = 14, ntyp = 4
/
ATOMIC_SPECIES
Cu 63.55 Cu.upf
S 32.06 S.upf
Ce 140.12 Ce.upf
Nd 144.24 Nd.upf
CELL_PARAMETERS angstrom
-0.905 3.813 -5.248
-4.850 -3.199 -1.487
-3.984 3.263 5.972
ATOMIC_POSITIONS angstrom
Cu -4.621 4.317 -0.263
Cu -5.118 -0.441 -0.500
S -5.244 4.242 1.928
S -6.441 1.232 0.217
S -7.795 -0.645 2.934
S -4.244 3.004 -4.402
S -1.944 4.521 -3.697
S -4.495 -0.366 -2.691
S -5.495 0.873 3.639
S -3.298 2.645 -0.980
Ce -6.073 1.916 -2.455
Ce -3.666 1.960 1.692
Nd -1.697 0.385 -1.340
Nd -8.042 3.492 0.577
```

Entry 10:
The following is a PBE-GGA calculation of a relaxed structure of CeNd2CuS5, from Alexandria via LeMat-Bulk. Values from VASP.

## Properties
E_form (uncorrected)	-1.72	eV/atom
calculated total energy	-6.1873	eV/atom
theoretical density	5.50	g/cm3
spin magnetization	0.0766	μB per atom

```
&SYSTEM
  ibrav = 0, nat = 18, ntyp = 4
/
ATOMIC_SPECIES
S 32.06 S.upf
Nd 144.24 Nd.upf
Cu 63.55 Cu.upf
Ce 140.12 Ce.upf
CELL_PARAMETERS angstrom
3.925 0.000 0.000
-1.962 8.309 0.000
0.000 0.000 12.085
ATOMIC_POSITIONS angstrom
S 0.000 5.280 4.356
S 1.962 0.148 3.011
S 0.000 0.229 0.133
S 1.962 2.574 6.289
S 1.962 3.030 10.399
S 0.000 8.161 9.053
S 0.000 5.735 0.247
S 1.962 3.343 2.337
S 1.962 8.080 6.175
S 0.000 4.966 8.380
Nd 0.000 1.953 4.211
Nd 0.000 1.885 8.362
Nd 1.962 6.424 2.320
Nd 1.962 6.356 10.254
Cu 0.000 7.521 5.082
Cu 1.962 0.789 11.124
Ce 1.962 5.351 6.387
Ce 0.000 2.958 0.345
```